A geometry-optimized VGe2Rh structure, computed with GGA-PBE.

```
data_VGe2Rh
_cell_length_a 3.870
_cell_length_b 3.870
_cell_length_c 9.117
_cell_angle_alpha 77.75
_cell_angle_beta 77.75
_cell_angle_gamma 90.00
_space_group_name_H-M_alt 'P 1'
_space_group_IT_number 1
_space_group_name_Hall 'P 1'
loop_
_atom_site_label
_atom_site_type_symbol
_atom_site_fract_x
_atom_site_fract_y
_atom_site_fract_z
Rh1 Rh 0.750 0.250 0.500
Rh2 Rh 0.000 0.000 0.000
Ge1 Ge 0.124 0.625 0.250
Ge2 Ge 0.375 0.374 0.750
Ge3 Ge 0.875 0.876 0.750
Ge4 Ge 0.626 0.125 0.250
V1 V 0.500 0.500 0.000
V2 V 0.250 0.750 0.500
```

Output
Space group   I-42d
Total magnetization   1.133 μB/f.u.
Volume   130 Å³ per cell
Crystal system   tetragonal
Energy   -6.367 eV per atom
Calculated formation energy   0.06 eV per atom